(1)
First-principles (PBE) data for a geometry-optimized CsK12Tl5 structure, as listed in the Alexandria database.

Cell lengths 10.946, 10.946, 10.946 Å; angles 116.99, 111.67, 100.19 degrees
Element x y z (fractional)
Cs 0.000 0.000 0.000
K 0.121 0.809 0.312
K 0.235 0.322 0.557
K 0.235 0.678 0.914
K 0.277 0.078 0.801
K 0.277 0.476 0.199
K 0.497 0.809 0.688
K 0.503 0.191 0.312
K 0.723 0.524 0.801
K 0.723 0.922 0.199
K 0.765 0.322 0.086
K 0.765 0.678 0.443
K 0.879 0.191 0.688
Tl 0.108 0.608 0.500
Tl 0.500 0.132 0.632
Tl 0.500 0.500 0.000
Tl 0.500 0.868 0.368
Tl 0.892 0.392 0.500

* spin magnetization: 0.00 μB per cell
* calculated formation energy: -0.020 eV per atom
* density of states at the Fermi level: 14.1 states/eV per cell



(2)
First-principles (PBE) data for a geometry-optimized Li4U3TlO12 structure, as listed in the Alexandria database.

Cell lengths 7.114, 7.114, 7.114 Å; angles 106.61, 106.61, 106.61 degrees
Element x y z (fractional)
Li 0.000 0.000 0.000
Li 0.000 0.442 0.558
Li 0.442 0.558 0.000
Li 0.558 0.000 0.442
U 0.056 0.944 0.500
U 0.500 0.056 0.944
U 0.944 0.500 0.056
Tl 0.500 0.500 0.500
O 0.000 0.611 0.389
O 0.000 0.834 0.166
O 0.139 0.248 0.535
O 0.166 0.000 0.834
O 0.248 0.535 0.139
O 0.389 0.000 0.611
O 0.465 0.752 0.861
O 0.535 0.139 0.248
O 0.611 0.389 0.000
O 0.752 0.861 0.465
O 0.834 0.166 0.000
O 0.861 0.465 0.752

* spin magnetization: 0.00 μB per cell
* uncorrected formation energy: -2.4949 eV per atom
* density of states at the Fermi level: 7.4 states/eV per cell